VASP calculation (PBEsol) on a geometry-optimized SrW3 structure.

Output
calculated formation energy	1.18	eV/atom
SG	R-3m, No. 166
energy above the lowest structure with this stoichiometry	0.0802	eV/atom

Cell lengths 2.711, 5.608, 5.608 Å; angles 117.45, 99.27, 99.27 degrees
Fractional coordinates of all 4 atoms:
Sr  0.000  0.000  0.000
W  0.000  0.500  0.500
W  0.500  0.500  0.000
W  0.500  0.000  0.500

VASP calculation (PBEsol) on a geometry-optimized SrW4 structure.

Output
calculated formation energy	3.36	eV/atom
SG	Im-3m, No. 229

Cell lengths 5.100, 5.100, 5.100 Å; angles 109.47, 109.47, 109.47 degrees
Fractional coordinates of all 5 atoms:
W  0.000  0.000  0.500
W  0.000  0.500  0.000
W  0.500  0.000  0.000
W  0.500  0.500  0.500
Sr  0.000  0.000  0.000

VASP calculation (PBEsol) on a geometry-optimized SrYW structure.

Output
calculated formation energy	1.43	eV/atom
SG	F-43m, No. 216
energy above the lowest structure with this stoichiometry	0.5543	eV/atom

Cell lengths 5.057, 5.057, 5.057 Å; angles 60.00, 60.00, 60.00 degrees
Fractional coordinates of all 3 atoms:
Y  0.000  0.000  0.000
Sr  0.500  0.500  0.500
W  0.250  0.250  0.250

VASP calculation (PBEsol) on a geometry-optimized Sr2YW structure.

Output
calculated formation energy	1.02	eV/atom
SG	F-43m, No. 216
energy above the lowest structure with this stoichiometry	0.0000	eV/atom

Cell lengths 5.423, 5.423, 5.423 Å; angles 60.00, 60.00, 60.00 degrees
Fractional coordinates of all 4 atoms:
W  0.500  0.500  0.500
Sr  0.750  0.750  0.750
Sr  0.000  0.000  0.000
Y  0.250  0.250  0.250